# PBE Pr2Nd6Sm3In, optimized geometry
# Theoretical density = 7.040 g cm⁻³
# Energy of formation from the pure elements = -0.64 eV/f.u.
# Total energy = -111.40 eV for the cell shown
data_Pr2Nd6Sm3In
_cell_length_a 6.2671
_cell_length_b 10.8821
_cell_length_c 12.0393
_cell_angle_alpha 90.00
_cell_angle_beta 100.14
_cell_angle_gamma 90.00
_symmetry_space_group_name_H-M 'C 1 2/m 1'
_symmetry_Int_Tables_number 12
loop_
_symmetry_equiv_pos_as_xyz
'x,y,z'
'-x,-y,-z'
'-x,y,-z'
'x,-y,z'
'x+1/2,y+1/2,z'
'-x+1/2,-y+1/2,-z'
'-x+1/2,y+1/2,-z'
'x+1/2,-y+1/2,z'
loop_
_atom_site_label
_atom_site_type_symbol
_atom_site_fract_x
_atom_site_fract_y
_atom_site_fract_z
Pr1 Pr 0.0000 0.1663 0.0000
Nd1 Nd 0.2416 0.5000 0.7503
Nd2 Nd 0.2446 0.3377 0.2483
Sm1 Sm 0.0000 0.0000 0.5000
Sm2 Sm 0.0000 0.3317 0.5000
In1 In 0.0000 0.5000 0.0000